LaBi3Se after structural relaxation. Source: Alexandria via LeMat-Bulk, functional GGA-PBEsol.

The density of states at the Fermi level comes out at 5.48 states/eV/f.u. Its total energy is -17.97 eV/cell. As for the formation energy without anion corrections: 0.82 eV/atom. The value obtained for the total moment is 1.34 μB per formula unit.

It has space group Pm-3m (No. 221), with a = 6.0288 Å, b = 6.0288 Å, c = 6.0288 Å, α = 90.00°, β = 90.00° and γ = 90.00°. The inequivalent atoms are La at (0.0000, 0.0000, 0.0000), Bi at (0.0000, 0.0000, 0.5000) and Se at (0.5000, 0.5000, 0.5000).

***

LaSi3Bi after structural relaxation. Source: Alexandria via LeMat-Bulk, functional GGA-PBEsol.

The density of states at the Fermi level comes out at 4.19 states/eV/f.u. Its total energy is -20.57 eV/cell. As for the formation energy without anion corrections: 1.26 eV/atom. The value obtained for the total moment is 0.00 μB per formula unit.

It has space group Pm-3m (No. 221), with a = 5.3708 Å, b = 5.3708 Å, c = 5.3708 Å, α = 90.00°, β = 90.00° and γ = 90.00°. The inequivalent atoms are La at (0.0000, 0.0000, 0.0000), Si at (0.0000, 0.0000, 0.5000) and Bi at (0.5000, 0.5000, 0.5000).

***

LaSiBi2 after structural relaxation. Source: Alexandria via LeMat-Bulk, functional GGA-PBEsol.

The density of states at the Fermi level comes out at 3.00 states/eV/f.u. Its total energy is -81.77 eV/cell. As for the formation energy without anion corrections: -0.19 eV/atom. The value obtained for the total moment is 0.00 μB per formula unit.

It has space group I-42d (No. 122), with a = 8.6264 Å, b = 8.6264 Å, c = 6.2241 Å, α = 90.00°, β = 90.00° and γ = 90.00°. The inequivalent atoms are La at (0.0000, 0.0000, 0.0000), Si at (0.0000, 0.0000, 0.5000) and Bi at (0.2080, 0.7500, 0.6250).

***

La2ZnSiBi after structural relaxation. Source: Alexandria via LeMat-Bulk, functional GGA-PBEsol.

The density of states at the Fermi level comes out at 4.22 states/eV/f.u. Its total energy is -21.93 eV/cell. As for the formation energy without anion corrections: 0.08 eV/atom. The value obtained for the total moment is 0.00 μB per formula unit.

It has space group P4/mmm (No. 123), with a = 5.6131 Å, b = 5.6131 Å, c = 5.2726 Å, α = 90.00°, β = 90.00° and γ = 90.00°. The inequivalent atoms are La at (0.0000, 0.5000, 0.0000), Zn at (0.0000, 0.0000, 0.5000), Si at (0.5000, 0.5000, 0.0000) and Bi at (0.5000, 0.5000, 0.5000).

***

La4SnBi2 after structural relaxation. Source: Alexandria via LeMat-Bulk, functional GGA-PBEsol.

The density of states at the Fermi level comes out at 8.07 states/eV/f.u. Its total energy is -161.91 eV/cell. The value obtained for the total moment is 0.00 μB per formula unit.

It has space group I-42d (No. 122), with a = 9.6947 Å, b = 9.6947 Å, c = 9.7283 Å, α = 90.00°, β = 90.00° and γ = 90.00°. The inequivalent atoms are La at (0.0705, 0.6803, 0.4503), Sn at (0.0000, 0.0000, 0.5000) and Bi at (0.1223, 0.7500, 0.1250).

***

La3TcBi after structural relaxation. Source: Alexandria via LeMat-Bulk, functional GGA-PBEsol.

The density of states at the Fermi level comes out at 4.16 states/eV/f.u. The excess energy over the best structure of this formula in the dataset comes out at 0 meV per atom. Its total energy is -33.30 eV/cell. The value obtained for the total moment is 0.00 μB per formula unit.

It has space group Pm-3m (No. 221), with a = 5.3760 Å, b = 5.3760 Å, c = 5.3760 Å, α = 90.00°, β = 90.00° and γ = 90.00°. The inequivalent atoms are La at (0.0000, 0.0000, 0.5000), Tc at (0.0000, 0.0000, 0.0000) and Bi at (0.5000, 0.5000, 0.5000).

***

LaBiTe2 after structural relaxation. Source: Alexandria via LeMat-Bulk, functional GGA-PBEsol.

The density of states at the Fermi level comes out at 1.12 states/eV/f.u. Its total energy is -57.85 eV/cell. As for the formation energy without anion corrections: -0.65 eV/atom. The value obtained for the total moment is 0.00 μB per formula unit.

It has space group R-3m (No. 166, hexagonal axes), with a = 4.3036 Å, b = 4.3036 Å, c = 29.7056 Å, α = 90.00°, β = 90.00° and γ = 120.00°. The inequivalent atoms are La at (0.0000, 0.0000, 0.0000), Bi at (0.0000, 0.0000, 0.5000) and Te at (0.0000, 0.0000, 0.3985).

***

La2TiBiTe after structural relaxation. Source: Alexandria via LeMat-Bulk, functional GGA-PBEsol.

The density of states at the Fermi level comes out at 5.78 states/eV/f.u. Its total energy is -27.55 eV/cell. As for the formation energy without anion corrections: -0.15 eV/atom. The value obtained for the total moment is 2.04 μB per formula unit.

It has space group P4/mmm (No. 123), with a = 5.9082 Å, b = 5.9082 Å, c = 4.9805 Å, α = 90.00°, β = 90.00° and γ = 90.00°. The inequivalent atoms are La at (0.0000, 0.5000, 0.0000), Ti at (0.0000, 0.0000, 0.5000), Bi at (0.5000, 0.5000, 0.5000) and Te at (0.0000, 0.0000, 0.0000).

***

LaBiW3 after structural relaxation. Source: Alexandria via LeMat-Bulk, functional GGA-PBEsol.

The density of states at the Fermi level comes out at 6.36 states/eV/f.u. Its total energy is -38.82 eV/cell. The value obtained for the total moment is 0.00 μB per formula unit.

It has space group Pm-3m (No. 221), with a = 5.0446 Å, b = 5.0446 Å, c = 5.0446 Å, α = 90.00°, β = 90.00° and γ = 90.00°. The inequivalent atoms are La at (0.0000, 0.0000, 0.0000), Bi at (0.5000, 0.5000, 0.5000) and W at (0.0000, 0.5000, 0.5000).

***

La2Zn2Bi after structural relaxation. Source: Alexandria via LeMat-Bulk, functional GGA-PBEsol.

The density of states at the Fermi level comes out at 4.26 states/eV/f.u. Its total energy is -39.51 eV/cell. The value obtained for the total moment is 0.00 μB per formula unit.

It has space group I4/mmm (No. 139), with a = 3.9583 Å, b = 3.9583 Å, c = 17.2944 Å, α = 90.00°, β = 90.00° and γ = 90.00°. The inequivalent atoms are La at (0.0000, 0.0000, 0.1095), Zn at (0.0000, 0.5000, 0.2500) and Bi at (0.0000, 0.0000, 0.5000).

***

LaZn2Bi2 after structural relaxation. Source: Alexandria via LeMat-Bulk, functional GGA-PBEsol.

The density of states at the Fermi level comes out at 1.93 states/eV/f.u. Its total energy is -37.09 eV/cell. The value obtained for the total moment is 0.00 μB per formula unit.

It has space group I4/mmm (No. 139), with a = 5.1341 Å, b = 5.1341 Å, c = 9.6880 Å, α = 90.00°, β = 90.00° and γ = 90.00°. The inequivalent atoms are La at (0.0000, 0.0000, 0.0000), Zn at (0.0000, 0.0000, 0.3782) and Bi at (0.0000, 0.5000, 0.2500).

***

LaZrBi3 after structural relaxation. Source: Alexandria via LeMat-Bulk, functional GGA-PBEsol.

The density of states at the Fermi level comes out at 5.53 states/eV/f.u. Its total energy is -27.81 eV/cell. The value obtained for the total moment is 0.00 μB per formula unit.

It has space group Pm-3m (No. 221), with a = 5.5699 Å, b = 5.5699 Å, c = 5.5699 Å, α = 90.00°, β = 90.00° and γ = 90.00°. The inequivalent atoms are La at (0.0000, 0.0000, 0.0000), Zr at (0.5000, 0.5000, 0.5000) and Bi at (0.0000, 0.5000, 0.5000).